LiTa2Se | PBE-GGA | optimized geometry

Cell and atoms, written as extended XYZ:
```
8
Lattice="-1.911 1.911 9.879 1.911 -1.911 9.879 1.911 1.911 -9.879" Properties=species:S:1:pos:R:3 pbc="T T T"
Li 0.000 0.000 0.000
Li 0.000 1.911 4.939
Ta 0.955 -0.938 7.409
Ta 0.973 0.955 2.470
Ta 0.955 2.848 -2.470
Ta 0.938 0.955 12.348
Se 1.911 0.000 4.939
Se 0.000 0.000 9.879
```

E_form (uncorrected) = 1.050 eV per formula unit
Magnetization = 0.00 Bohr magnetons per cell
VASP energy = -7.01 eV per atom
SG = I-42d (122)